# HoErRu PBE relaxed
data_HoErRu
_symmetry_space_group_name_H-M 'P n m a'
_symmetry_Int_Tables_number 62
_cell_length_a 6.750
_cell_length_b 3.386
_cell_length_c 12.861
_cell_angle_alpha 90.00
_cell_angle_beta 90.00
_cell_angle_gamma 90.00
loop_
_symmetry_equiv_pos_as_xyz
'x,y,z'
'-x,-y,-z'
'-x+1/2,-y,z+1/2'
'x+1/2,y,-z+1/2'
'x+1/2,-y+1/2,-z+1/2'
'-x+1/2,y+1/2,z+1/2'
'-x,y+1/2,-z'
'x,-y+1/2,z'
loop_
_atom_site_label
_atom_site_fract_x
_atom_site_fract_y
_atom_site_fract_z
Ho1 0.126 0.250 0.122
Er1 0.125 0.250 0.377
Ru1 0.124 0.250 0.750
# Formation energy: -376 meV per atom
# Fermi-level density of states: 0.572 states/eV per atom

# Dy2Si2Tc2B PBE relaxed
data_Dy2Si2Tc2B
_symmetry_space_group_name_H-M 'C 1 2/m 1'
_symmetry_Int_Tables_number 12
_cell_length_a 10.912
_cell_length_b 4.038
_cell_length_c 6.946
_cell_angle_alpha 90.00
_cell_angle_beta 126.66
_cell_angle_gamma 90.00
loop_
_symmetry_equiv_pos_as_xyz
'x,y,z'
'-x,-y,-z'
'-x,y,-z'
'x,-y,z'
'x+1/2,y+1/2,z'
'-x+1/2,-y+1/2,-z'
'-x+1/2,y+1/2,-z'
'x+1/2,-y+1/2,z'
loop_
_atom_site_label
_atom_site_fract_x
_atom_site_fract_y
_atom_site_fract_z
Dy1 0.075 0.000 0.306
Si1 0.139 0.500 0.682
Tc1 0.214 0.500 0.095
B1 0.000 0.500 0.000
# Formation energy from raw total energies: -668 meV/atom
# Fermi-level density of states: 0.565 states/eV per atom

# CaTe2Os PBE relaxed
data_CaTe2Os
_symmetry_space_group_name_H-M 'P 4/m m m'
_symmetry_Int_Tables_number 123
_symmetry_space_group_name_Hall '-P 4 2'
_cell_length_a 5.054
_cell_length_b 5.054
_cell_length_c 3.441
_cell_angle_alpha 90.00
_cell_angle_beta 90.00
_cell_angle_gamma 90.00
loop_
_atom_site_label
_atom_site_fract_x
_atom_site_fract_y
_atom_site_fract_z
Ca1 0.000 0.000 0.000
Te1 0.000 0.500 0.500
Os1 0.500 0.500 0.000
# Formation energy from raw total energies: 46 meV/atom
# Fermi-level density of states: 0.884 states/eV per atom

# NaTbNb4N8 PBE relaxed
data_NaTbNb4N8
_symmetry_space_group_name_H-M 'R 3 m'
_symmetry_Int_Tables_number 160
_symmetry_space_group_name_Hall 'R 3 -2"'
_cell_length_a 6.3688
_cell_length_b 6.3688
_cell_length_c 16.1088
_cell_angle_alpha 90.00
_cell_angle_beta 90.00
_cell_angle_gamma 120.00
loop_
_atom_site_label
_atom_site_fract_x
_atom_site_fract_y
_atom_site_fract_z
Na1 0.0000 0.0000 0.0000
Tb1 0.0000 0.0000 0.3827
Nb1 0.0000 0.0000 0.6277
Nb2 0.1723 0.3445 0.8345
N1 0.0000 0.0000 0.2418
N2 0.0000 0.0000 0.7656
N3 0.0112 0.5056 0.2454
N4 0.0353 0.5177 0.7717
# Formation energy from raw total energies: -768 meV/atom

# Tb3Pm2S4 PBE relaxed
data_Tb3Pm2S4
_symmetry_space_group_name_H-M 'C 1 2/m 1'
_symmetry_Int_Tables_number 12
_cell_length_a 13.054
_cell_length_b 3.932
_cell_length_c 9.626
_cell_angle_alpha 90.00
_cell_angle_beta 119.09
_cell_angle_gamma 90.00
loop_
_symmetry_equiv_pos_as_xyz
'x,y,z'
'-x,-y,-z'
'-x,y,-z'
'x,-y,z'
'x+1/2,y+1/2,z'
'-x+1/2,-y+1/2,-z'
'-x+1/2,y+1/2,-z'
'x+1/2,-y+1/2,z'
loop_
_atom_site_label
_atom_site_fract_x
_atom_site_fract_y
_atom_site_fract_z
Tb1 0.000 0.000 0.000
Tb2 0.204 0.000 0.803
Pm1 0.100 0.500 0.400
S1 0.103 0.500 0.904
S2 0.199 0.000 0.296
# Formation energy from raw total energies: -1783 meV/atom
# Fermi-level density of states: 0.606 states/eV per atom

# MgBeRh2 PBE relaxed
data_MgBeRh2
_symmetry_space_group_name_H-M 'I m m m'
_symmetry_Int_Tables_number 71
_symmetry_space_group_name_Hall '-I 2 2'
_cell_length_a 2.938
_cell_length_b 4.578
_cell_length_c 7.951
_cell_angle_alpha 90.00
_cell_angle_beta 90.00
_cell_angle_gamma 90.00
loop_
_atom_site_label
_atom_site_fract_x
_atom_site_fract_y
_atom_site_fract_z
Mg1 0.000 0.000 0.000
Be1 0.000 0.000 0.500
Rh1 0.000 0.500 0.216
# Formation energy: -364 meV per atom
# Fermi-level density of states: 0.566 states/eV per atom

Number 1: E -6.515 eV per atom, size of the total moment 0.0 μB/f.u.. Number 2: E -7.448 eV per atom, size of the total moment 0.0 μB/f.u.. Number 3: E -4.832 eV per atom, size of the total moment 0.0 μB/f.u.. Number 4: E -8.828 eV per atom, size of the total moment 0.0 μB/f.u.. Number 5: E -6.217 eV per atom, size of the total moment 0.0 μB/f.u.. Number 6: E -5.370 eV per atom, size of the total moment 0.0 μB/f.u..